# RuPt, PBEsol geometry, DFT SCAN
data_RuPt
_chemical_formula_sum 'Ru4 Pt4'
_cell_length_a 5.0798
_cell_length_b 5.0798
_cell_length_c 5.0798
_cell_angle_alpha 90.00
_cell_angle_beta 90.00
_cell_angle_gamma 90.00
_space_group_name_H-M_alt 'F m -3 m'
_space_group_IT_number 225
_space_group_name_Hall '-F 4 2 3'
loop_
_atom_site_label
_atom_site_fract_x
_atom_site_fract_y
_atom_site_fract_z
Ru1 0.0000 0.0000 0.0000
Pt1 0.0000 0.0000 0.5000
# - uncorrected energy (eV/atom) = -51.565
# - DFT formation energy (meV per atom) = 945

# KMgFe2, PBEsol geometry, DFT SCAN
data_KMgFe2
_chemical_formula_sum 'K2 Mg2 Fe4'
_cell_length_a 4.6879
_cell_length_b 4.6879
_cell_length_c 6.6455
_cell_angle_alpha 90.00
_cell_angle_beta 90.00
_cell_angle_gamma 90.00
_space_group_name_H-M_alt 'I -4 m 2'
_space_group_IT_number 119
_space_group_name_Hall 'I -4 -2'
loop_
_atom_site_label
_atom_site_fract_x
_atom_site_fract_y
_atom_site_fract_z
K1 0.0000 0.0000 0.0000
Mg1 0.0000 0.5000 0.7500
Fe1 0.0000 0.0000 0.5000
Fe2 0.0000 0.5000 0.2500
# - uncorrected energy (eV/atom) = -11.332
# - DFT formation energy (meV per atom) = 1058
# - relative energy among the computed polymorphs (meV/atom) = 587.3

# As2PPt, PBEsol geometry, DFT SCAN
data_As2PPt
_chemical_formula_sum 'As2 P1 Pt1'
_cell_length_a 3.6135
_cell_length_b 3.6135
_cell_length_c 5.1989
_cell_angle_alpha 90.00
_cell_angle_beta 90.00
_cell_angle_gamma 90.00
_space_group_name_H-M_alt 'P 4 m m'
_space_group_IT_number 99
loop_
_space_group_symop_operation_xyz
'x,y,z'
'-y,x,z'
'-x,-y,z'
'y,-x,z'
'-x,y,z'
'y,x,z'
'x,-y,z'
'-y,-x,z'
loop_
_atom_site_label
_atom_site_fract_x
_atom_site_fract_y
_atom_site_fract_z
As1 0.0000 0.0000 0.0000
As2 0.5000 0.5000 0.0394
P1 0.0000 0.0000 0.5479
Pt1 0.5000 0.5000 0.5271
# - uncorrected energy (eV/atom) = -30.316
# - DFT formation energy (meV per atom) = -72

# La3BiCl, PBEsol geometry, DFT SCAN
data_La3BiCl
_chemical_formula_sum 'La3 Bi1 Cl1'
_cell_length_a 5.3540
_cell_length_b 5.3540
_cell_length_c 5.3540
_cell_angle_alpha 90.00
_cell_angle_beta 90.00
_cell_angle_gamma 90.00
_space_group_name_H-M_alt 'P m -3 m'
_space_group_IT_number 221
_space_group_name_Hall '-P 4 2 3'
loop_
_atom_site_label
_atom_site_fract_x
_atom_site_fract_y
_atom_site_fract_z
La1 0.0000 0.0000 0.5000
Bi1 0.5000 0.5000 0.5000
Cl1 0.0000 0.0000 0.0000
# - energy relative to the elements, uncorrected (meV/atom) = -920
# - uncorrected energy (eV/atom) = -44.095

# Ba2BiSe, PBEsol geometry, DFT SCAN
data_Ba2BiSe
_chemical_formula_sum 'Ba8 Bi4 Se4'
_cell_length_a 8.8888
_cell_length_b 8.8888
_cell_length_c 7.9043
_cell_angle_alpha 90.00
_cell_angle_beta 90.00
_cell_angle_gamma 90.00
_space_group_name_H-M_alt 'I -4 2 d'
_space_group_IT_number 122
_space_group_name_Hall 'I -4 2bw'
loop_
_atom_site_label
_atom_site_fract_x
_atom_site_fract_y
_atom_site_fract_z
Ba1 0.2200 0.2500 0.1250
Bi1 0.0000 0.0000 0.5000
Se1 0.0000 0.0000 0.0000
# - energy relative to the elements, uncorrected (meV/atom) = -1240
# - uncorrected energy (eV/atom) = -45.679
# - relative energy among the computed polymorphs (meV/atom) = 29.6

# LaBr2, PBEsol geometry, DFT SCAN
data_LaBr2
_chemical_formula_sum 'La2 Br4'
_cell_length_a 4.0592
_cell_length_b 4.0592
_cell_length_c 14.1832
_cell_angle_alpha 90.00
_cell_angle_beta 90.00
_cell_angle_gamma 120.00
_space_group_name_H-M_alt 'P 63/m m c'
_space_group_IT_number 194
_space_group_name_Hall '-P 6c 2c'
loop_
_atom_site_label
_atom_site_fract_x
_atom_site_fract_y
_atom_site_fract_z
La1 0.0000 0.0000 0.2500
Br1 0.3333 0.6667 0.1161
# - energy relative to the elements, uncorrected (meV/atom) = -2023
# - uncorrected energy (eV/atom) = -29.365

# Li3Zn, PBEsol geometry, DFT SCAN
data_Li3Zn
_chemical_formula_sum 'Li6 Zn2'
_cell_length_a 4.0594
_cell_length_b 4.1170
_cell_length_c 7.5755
_cell_angle_alpha 90.00
_cell_angle_beta 90.00
_cell_angle_gamma 90.00
_space_group_name_H-M_alt 'I m m m'
_space_group_IT_number 71
_space_group_name_Hall '-I 2 2'
loop_
_atom_site_label
_atom_site_fract_x
_atom_site_fract_y
_atom_site_fract_z
Li1 0.0000 0.0000 0.0000
Li2 0.0000 0.5000 0.2503
Zn1 0.0000 0.0000 0.5000
# - uncorrected energy (eV/atom) = -5.282
# - DFT formation energy (meV per atom) = -111

# BeBi2ClO, PBEsol geometry, DFT SCAN
data_BeBi2ClO
_chemical_formula_sum 'Be1 Bi2 Cl1 O1'
_cell_length_a 4.9533
_cell_length_b 4.9533
_cell_length_c 4.1201
_cell_angle_alpha 90.00
_cell_angle_beta 90.00
_cell_angle_gamma 90.00
_space_group_name_H-M_alt 'P 4/m m m'
_space_group_IT_number 123
_space_group_name_Hall '-P 4 2'
loop_
_atom_site_label
_atom_site_fract_x
_atom_site_fract_y
_atom_site_fract_z
Be1 0.0000 0.0000 0.0000
Bi1 0.0000 0.5000 0.0000
Cl1 0.0000 0.0000 0.5000
O1 0.5000 0.5000 0.5000
# - energy relative to the elements, uncorrected (meV/atom) = 418
# - uncorrected energy (eV/atom) = -34.727

# NdBC, PBEsol geometry, DFT SCAN
data_NdBC
_chemical_formula_sum 'Nd20 B20 C20'
_cell_length_a 8.3368
_cell_length_b 8.3752
_cell_length_c 12.2148
_cell_angle_alpha 90.00
_cell_angle_beta 90.00
_cell_angle_gamma 90.00
_space_group_name_H-M_alt 'P 21 21 21'
_space_group_IT_number 19
loop_
_space_group_symop_operation_xyz
'x,y,z'
'-x+1/2,-y,z+1/2'
'x+1/2,-y+1/2,-z'
'-x,y+1/2,-z+1/2'
loop_
_atom_site_label
_atom_site_fract_x
_atom_site_fract_y
_atom_site_fract_z
Nd1 0.0479 0.0973 0.1392
Nd2 0.0631 0.6996 0.6355
Nd3 0.1568 0.5929 0.9051
Nd4 0.1609 0.9915 0.4182
Nd5 0.2456 0.2888 0.6716
B1 0.0183 0.8894 0.9582
B2 0.0627 0.2956 0.3207
B3 0.0979 0.9797 0.7382
B4 0.1170 0.3981 0.2130
B5 0.1844 0.3063 0.9905
C1 0.0252 0.3032 0.4398
C2 0.0559 0.8898 0.8395
C3 0.1460 0.3983 0.0919
C4 0.1474 0.9970 0.6233
C5 0.2444 0.2987 0.8778
# - uncorrected energy (eV/atom) = -20.856
# - DFT formation energy (meV per atom) = -485

# CaMoIr2, PBEsol geometry, DFT SCAN
data_CaMoIr2
_chemical_formula_sum 'Ca1 Mo1 Ir2'
_cell_length_a 4.7743
_cell_length_b 4.7743
_cell_length_c 2.8450
_cell_angle_alpha 90.00
_cell_angle_beta 90.00
_cell_angle_gamma 90.00
_space_group_name_H-M_alt 'P 4/m m m'
_space_group_IT_number 123
_space_group_name_Hall '-P 4 2'
loop_
_atom_site_label
_atom_site_fract_x
_atom_site_fract_y
_atom_site_fract_z
Ca1 0.0000 0.0000 0.0000
Mo1 0.5000 0.5000 0.0000
Ir1 0.0000 0.5000 0.5000
# - uncorrected energy (eV/atom) = -46.661
# - DFT formation energy (meV per atom) = 26
# - relative energy among the computed polymorphs (meV/atom) = 0.0

# TbHg3, PBEsol geometry, DFT SCAN
data_TbHg3
_chemical_formula_sum 'Tb2 Hg6'
_cell_length_a 6.5308
_cell_length_b 6.5308
_cell_length_c 4.8764
_cell_angle_alpha 90.00
_cell_angle_beta 90.00
_cell_angle_gamma 120.00
_space_group_name_H-M_alt 'P 63/m m c'
_space_group_IT_number 194
_space_group_name_Hall '-P 6c 2c'
loop_
_atom_site_label
_atom_site_fract_x
_atom_site_fract_y
_atom_site_fract_z
Tb1 0.3333 0.6667 0.2500
Hg1 0.1652 0.3305 0.7500
# - uncorrected energy (eV/atom) = -63.311
# - DFT formation energy (meV per atom) = -496

# CuRuPt2, PBEsol geometry, DFT SCAN
data_CuRuPt2
_chemical_formula_sum 'Cu3 Ru3 Pt6'
_cell_length_a 2.7064
_cell_length_b 2.7064
_cell_length_c 26.0595
_cell_angle_alpha 90.00
_cell_angle_beta 90.00
_cell_angle_gamma 120.00
_space_group_name_H-M_alt 'R -3 m'
_space_group_IT_number 166
_space_group_name_Hall '-R 3 2"'
loop_
_atom_site_label
_atom_site_fract_x
_atom_site_fract_y
_atom_site_fract_z
Cu1 0.0000 0.0000 0.0000
Ru1 0.0000 0.0000 0.5000
Pt1 0.0000 0.0000 0.2514
# - uncorrected energy (eV/atom) = -47.631
# - DFT formation energy (meV per atom) = -28
# - relative energy among the computed polymorphs (meV/atom) = 52.1

# BaTi2P4O14, PBEsol geometry, DFT SCAN
data_BaTi2P4O14
_chemical_formula_sum 'Ba4 Ti8 P16 O56'
_cell_length_a 10.6965
_cell_length_b 10.5775
_cell_length_c 9.9090
_cell_angle_alpha 90.00
_cell_angle_beta 102.97
_cell_angle_gamma 90.00
_space_group_name_H-M_alt 'C 1 2/c 1'
_space_group_IT_number 15
loop_
_space_group_symop_operation_xyz
'x,y,z'
'-x,-y,-z'
'-x,y,-z+1/2'
'x,-y,z+1/2'
'x+1/2,y+1/2,z'
'-x+1/2,-y+1/2,-z'
'-x+1/2,y+1/2,-z+1/2'
'x+1/2,-y+1/2,z+1/2'
loop_
_atom_site_label
_atom_site_fract_x
_atom_site_fract_y
_atom_site_fract_z
Ba1 0.2500 0.2500 0.0000
Ti1 0.0000 0.0000 0.0000
Ti2 0.0000 0.4495 0.2500
P1 0.0598 0.3132 0.5579
P2 0.2210 0.0418 0.2970
O1 0.0227 0.1767 0.5778
O2 0.0345 0.4010 0.8912
O3 0.0691 0.3398 0.4096
O4 0.1379 0.0783 0.1566
O5 0.1455 0.0101 0.4051
O6 0.1800 0.4380 0.2046
O7 0.1995 0.3284 0.6585
# - energy relative to the elements, uncorrected (meV/atom) = -2826
# - uncorrected energy (eV/atom) = -12.371

# SrCaAg2, PBEsol geometry, DFT SCAN
data_SrCaAg2
_chemical_formula_sum 'Sr2 Ca2 Ag4'
_cell_length_a 4.6308
_cell_length_b 4.1934
_cell_length_c 11.4784
_cell_angle_alpha 90.00
_cell_angle_beta 90.00
_cell_angle_gamma 90.00
_space_group_name_H-M_alt 'A m m 2'
_space_group_IT_number 38
loop_
_space_group_symop_operation_xyz
'x,y,z'
'-x,-y,z'
'-x,y,z'
'x,-y,z'
'x,y+1/2,z+1/2'
'-x,-y+1/2,z+1/2'
'-x,y+1/2,z+1/2'
'x,-y+1/2,z+1/2'
loop_
_atom_site_label
_atom_site_fract_x
_atom_site_fract_y
_atom_site_fract_z
Sr1 0.0000 0.0000 0.0000
Ca1 0.5000 0.0000 0.2820
Ag1 0.0000 0.0000 0.7173
Ag2 0.5000 0.0000 0.5757
# - uncorrected energy (eV/atom) = -23.992
# - DFT formation energy (meV per atom) = -324

# Zr2CuPt, PBEsol geometry, DFT SCAN
data_Zr2CuPt
_chemical_formula_sum 'Zr2 Cu1 Pt1'
_cell_length_a 3.3166
_cell_length_b 3.3166
_cell_length_c 6.3587
_cell_angle_alpha 90.00
_cell_angle_beta 90.00
_cell_angle_gamma 90.00
_space_group_name_H-M_alt 'P 4/m m m'
_space_group_IT_number 123
_space_group_name_Hall '-P 4 2'
loop_
_atom_site_label
_atom_site_fract_x
_atom_site_fract_y
_atom_site_fract_z
Zr1 0.0000 0.0000 0.2450
Cu1 0.5000 0.5000 0.0000
Pt1 0.5000 0.5000 0.5000
# - uncorrected energy (eV/atom) = -37.388
# - DFT formation energy (meV per atom) = -690

# LiSeSN2, PBEsol geometry, DFT SCAN
data_LiSeSN2
_chemical_formula_sum 'Li1 Se1 S1 N2'
_cell_length_a 3.3670
_cell_length_b 3.3670
_cell_length_c 6.0433
_cell_angle_alpha 90.00
_cell_angle_beta 90.00
_cell_angle_gamma 90.00
_space_group_name_H-M_alt 'P 4/m m m'
_space_group_IT_number 123
_space_group_name_Hall '-P 4 2'
loop_
_atom_site_label
_atom_site_fract_x
_atom_site_fract_y
_atom_site_fract_z
Li1 0.0000 0.0000 0.0000
Se1 0.5000 0.5000 0.0000
S1 0.5000 0.5000 0.5000
N1 0.0000 0.5000 0.5000
# - energy relative to the elements, uncorrected (meV/atom) = 1082
# - uncorrected energy (eV/atom) = -9.054

# LaCo2Os, PBEsol geometry, DFT SCAN
data_LaCo2Os
_chemical_formula_sum 'La1 Co2 Os1'
_cell_length_a 2.9976
_cell_length_b 2.9976
_cell_length_c 7.0186
_cell_angle_alpha 90.00
_cell_angle_beta 90.00
_cell_angle_gamma 90.00
_space_group_name_H-M_alt 'P 4/m m m'
_space_group_IT_number 123
_space_group_name_Hall '-P 4 2'
loop_
_atom_site_label
_atom_site_fract_x
_atom_site_fract_y
_atom_site_fract_z
La1 0.0000 0.0000 0.0000
Co1 0.5000 0.5000 0.3167
Os1 0.0000 0.0000 0.5000
# - uncorrected energy (eV/atom) = -37.102
# - DFT formation energy (meV per atom) = 296
# - relative energy among the computed polymorphs (meV/atom) = 346.0

# YCdSe2, PBEsol geometry, DFT SCAN
data_YCdSe2
_chemical_formula_sum 'Y2 Cd2 Se4'
_cell_length_a 3.8031
_cell_length_b 3.8957
_cell_length_c 12.5705
_cell_angle_alpha 90.00
_cell_angle_beta 90.00
_cell_angle_gamma 90.00
_space_group_name_H-M_alt 'I m m 2'
_space_group_IT_number 44
loop_
_space_group_symop_operation_xyz
'x,y,z'
'-x,-y,z'
'-x,y,z'
'x,-y,z'
'x+1/2,y+1/2,z+1/2'
'-x+1/2,-y+1/2,z+1/2'
'-x+1/2,y+1/2,z+1/2'
'x+1/2,-y+1/2,z+1/2'
loop_
_atom_site_label
_atom_site_fract_x
_atom_site_fract_y
_atom_site_fract_z
Y1 0.0000 0.0000 0.0000
Cd1 0.0000 0.5000 0.7761
Se1 0.0000 0.0000 0.5769
Se2 0.0000 0.5000 0.3289
# - energy relative to the elements, uncorrected (meV/atom) = -1240
# - uncorrected energy (eV/atom) = -25.843

# KZnCo4, PBEsol geometry, DFT SCAN
data_KZnCo4
_chemical_formula_sum 'K4 Zn4 Co16'
_cell_length_a 6.9365
_cell_length_b 6.9365
_cell_length_c 6.9365
_cell_angle_alpha 90.00
_cell_angle_beta 90.00
_cell_angle_gamma 90.00
_space_group_name_H-M_alt 'F -4 3 m'
_space_group_IT_number 216
_space_group_name_Hall 'F -4 2 3'
loop_
_atom_site_label
_atom_site_fract_x
_atom_site_fract_y
_atom_site_fract_z
K1 0.0000 0.0000 0.0000
Zn1 0.2500 0.2500 0.7500
Co1 0.1238 0.1238 0.3762
# - uncorrected energy (eV/atom) = -14.479
# - DFT formation energy (meV per atom) = 697

# K4VP2S9, PBEsol geometry, DFT SCAN
data_K4VP2S9
_chemical_formula_sum 'K16 V4 P8 S36'
_cell_length_a 19.1082
_cell_length_b 6.7152
_cell_length_c 12.7916
_cell_angle_alpha 90.00
_cell_angle_beta 90.00
_cell_angle_gamma 90.00
_space_group_name_H-M_alt 'P n a 21'
_space_group_IT_number 33
loop_
_space_group_symop_operation_xyz
'x,y,z'
'-x,-y,z+1/2'
'-x+1/2,y+1/2,z+1/2'
'x+1/2,-y+1/2,z'
loop_
_atom_site_label
_atom_site_fract_x
_atom_site_fract_y
_atom_site_fract_z
K1 0.0344 0.2419 0.0000
K2 0.0683 0.7524 0.7961
K3 0.1814 0.7466 0.3467
K4 0.2161 0.2528 0.1423
V1 0.1250 0.1399 0.5712
P1 0.0187 0.7497 0.1722
P2 0.2312 0.7475 0.9701
S1 0.0147 0.2464 0.5152
S2 0.0664 0.4953 0.2122
S3 0.0696 0.9979 0.2149
S4 0.0831 0.2459 0.7336
S5 0.1247 0.8260 0.5712
S6 0.1670 0.2445 0.4088
S7 0.1808 0.4986 0.9274
S8 0.1832 0.0013 0.9299
S9 0.2355 0.2440 0.6272
# - energy relative to the elements, uncorrected (meV/atom) = -1077
# - uncorrected energy (eV/atom) = -10.967